1.
Material: Pr2DyPt
Method: DFT, PBE-GGA
State: optimized geometry

Values from the calculation:
Its space group is No. 166. Its spin magnetization is 0.0 μB per cell. The total DFT energy (no corrections) is -63.07 eV for the cell shown.

a b c (Å): 3.811 3.811 32.306
angles (deg): 90.00 90.00 120.00
Atoms (fractional coordinates):
Pr: 0.000 0.000 0.108
Pr: 0.000 0.000 0.892
Pr: 0.333 0.667 0.558
Pr: 0.333 0.667 0.775
Pr: 0.667 0.333 0.225
Pr: 0.667 0.333 0.442
Dy: 0.000 0.000 0.000
Dy: 0.333 0.667 0.667
Dy: 0.667 0.333 0.333
Pt: 0.000 0.000 0.500
Pt: 0.333 0.667 0.167
Pt: 0.667 0.333 0.833

=====

2.
Material: Sr2Pd
Method: DFT, PBE-GGA
State: optimized geometry

Values from the calculation:
Its space group is No. 62. Its spin magnetization is 0.0 μB per cell. The total DFT energy (no corrections) is -39.53 eV for the cell shown.

a b c (Å): 8.424 4.803 9.841
angles (deg): 90.00 90.00 90.00
Atoms (fractional coordinates):
Sr: 0.021 0.250 0.168
Sr: 0.149 0.250 0.568
Sr: 0.351 0.750 0.068
Sr: 0.479 0.750 0.668
Sr: 0.521 0.250 0.332
Sr: 0.649 0.250 0.932
Sr: 0.851 0.750 0.432
Sr: 0.979 0.750 0.832
Pd: 0.238 0.750 0.378
Pd: 0.262 0.250 0.878
Pd: 0.738 0.750 0.122
Pd: 0.762 0.250 0.622

=====

3.
Material: PaV2In
Method: DFT, PBE-GGA
State: optimized geometry

Values from the calculation:
Its space group is No. 123. Its spin magnetization is 0.0 μB per cell. The total DFT energy (no corrections) is -29.69 eV for the cell shown.

a b c (Å): 3.406 3.406 6.446
angles (deg): 90.00 90.00 90.00
Atoms (fractional coordinates):
Pa: 0.000 0.000 0.000
V: 0.500 0.500 0.206
V: 0.500 0.500 0.794
In: 0.000 0.000 0.500

=====

4.
Material: Pa4Pt2N
Method: DFT, PBE-GGA
State: optimized geometry

Values from the calculation:
Its formation energy without anion corrections is -5.2 eV/f.u. Its space group is No. 139. Its spin magnetization is 0.0 μB per cell. The total DFT energy (no corrections) is -127.25 eV for the cell shown.

a b c (Å): 4.648 4.648 14.357
angles (deg): 90.00 90.00 90.00
Atoms (fractional coordinates):
Pa: 0.000 0.000 0.171
Pa: 0.000 0.000 0.829
Pa: 0.000 0.500 0.000
Pa: 0.000 0.500 0.500
Pa: 0.500 0.000 0.000
Pa: 0.500 0.000 0.500
Pa: 0.500 0.500 0.329
Pa: 0.500 0.500 0.671
Pt: 0.000 0.000 0.353
Pt: 0.000 0.000 0.647
Pt: 0.500 0.500 0.147
Pt: 0.500 0.500 0.853
N: 0.000 0.000 0.000
N: 0.500 0.500 0.500